[1]
Compound: LiReSi
Source: Alexandria via LeMat-Bulk
Functional: PBE
Structure: relaxed

Geometry as POSCAR:
```
LiReSi
1.0
-0.9925 -1.7485 3.4526
2.8539 -1.1704 2.5394
0.5262 1.9469 3.4490
Li Re Si
1 1 1
Direct
0.0000 0.0000 0.0000 Li
0.5000 0.5000 0.5000 Re
0.7500 0.7500 0.7500 Si
```

Energy relative to the lowest polymorph listed for this composition: 0.336 eV/atom
Space group: F-43m, No. 216

[2]
Compound: LiReSi
Source: Alexandria via LeMat-Bulk
Functional: PBE
Structure: relaxed

Geometry as POSCAR:
```
LiReSi
1.0
-0.6972 -6.2721 -1.5669
2.6518 -5.9359 0.1154
-1.7826 5.7767 2.3943
Li Re Si
1 1 1
Direct
0.9982 0.9982 0.0000 Li
0.6769 0.6769 0.0000 Re
0.3250 0.3250 0.0000 Si
```

Energy relative to the lowest polymorph listed for this composition: 0.292 eV/atom
Space group: I4mm, No. 107

[3]
Compound: LiRe2Si
Source: Alexandria via LeMat-Bulk
Functional: PBE
Structure: relaxed

Geometry as POSCAR:
```
LiRe2Si
1.0
4.9025 -0.0092 -0.0034
2.1938 4.3842 0.0034
-3.1307 -2.8645 2.4551
Re Li Si
2 1 1
Direct
0.7413 0.2413 0.5000 Re
0.9999 0.9999 0.0000 Re
0.2588 0.7588 0.5000 Li
0.5001 0.5001 0.0000 Si
```

Space group: Imm2, No. 44

[4]
Compound: LiRe2Si
Source: Alexandria via LeMat-Bulk
Functional: PBE
Structure: relaxed

Geometry as POSCAR:
```
LiRe2Si
1.0
4.8903 -0.0040 -0.0055
2.0078 4.4591 0.0055
-2.9568 -2.9898 2.4968
Re Li Si
2 1 1
Direct
0.9934 0.9934 0.0000 Re
0.5066 0.5066 0.0000 Re
0.2500 0.7500 0.5000 Li
0.7500 0.2500 0.5000 Si
```

Space group: Immm, No. 71

[5]
Compound: Li3ReSi
Source: Alexandria via LeMat-Bulk
Functional: PBE
Structure: relaxed

Geometry as POSCAR:
```
Li3ReSi
1.0
4.7629 0.0000 0.0000
0.0000 4.7629 0.0000
0.0000 0.0000 4.7629
Li Re Si
3 1 1
Direct
0.0000 0.0000 0.5000 Li
0.5000 0.0000 0.0000 Li
0.0000 0.5000 0.0000 Li
0.0000 0.0000 0.0000 Re
0.5000 0.5000 0.5000 Si
```

Energy relative to the lowest polymorph listed for this composition: 0.275 eV/atom
Space group: Pm-3m, No. 221

[6]
Compound: LiRe2Si
Source: Alexandria via LeMat-Bulk
Functional: PBE
Structure: relaxed

Geometry as POSCAR:
```
LiRe2Si
1.0
-1.9517 3.6070 1.8640
-3.9199 2.0879 0.7546
-1.0488 -1.7996 4.3250
Li Re Si
1 2 1
Direct
0.2500 0.2500 0.2500 Li
0.4879 0.4879 0.4961 Re
0.0121 0.0121 0.0039 Re
0.7500 0.7500 0.7500 Si
```

Space group: C2/m, No. 12

[7]
Compound: LiReSi
Source: Alexandria via LeMat-Bulk
Functional: PBE
Structure: relaxed

Geometry as POSCAR:
```
LiReSi
1.0
-3.4660 0.7343 2.7430
-2.5288 -3.4162 1.4181
4.3366 1.0809 -0.3188
Li Si Re
1 1 1
Direct
0.9994 0.9994 0.0000 Li
0.6726 0.6726 0.0000 Si
0.3279 0.3279 0.0000 Re
```

Energy relative to the lowest polymorph listed for this composition: 0.148 eV/atom
Space group: I4mm, No. 107

[8]
Compound: LiRe2Si
Source: Alexandria via LeMat-Bulk
Functional: PBE
Structure: relaxed

Geometry as POSCAR:
```
LiRe2Si
1.0
4.2290 0.0000 0.0000
2.1145 3.6625 0.0000
2.1145 1.2208 3.4530
Re Si Li
2 1 1
Direct
0.0000 0.0000 0.0000 Re
0.2500 0.2500 0.2500 Re
0.7500 0.7500 0.7500 Si
0.5000 0.5000 0.5000 Li
```

Space group: F-43m, No. 216

[9]
Compound: LiRe3Si
Source: Alexandria via LeMat-Bulk
Functional: PBE
Structure: relaxed

Geometry as POSCAR:
```
LiRe3Si
1.0
-3.1351 0.2989 2.6538
2.1548 -2.1344 2.7861
1.5776 3.5094 1.4684
Si Re Li
1 3 1
Direct
0.5000 0.5000 0.5000 Si
0.0000 0.5000 0.0000 Re
0.5000 0.0000 0.0000 Re
0.0000 0.0000 0.5000 Re
0.0000 0.0000 0.0000 Li
```

Energy relative to the lowest polymorph listed for this composition: 0.142 eV/atom
Space group: Pm-3m, No. 221

[10]
Compound: LiRe2Si
Source: Alexandria via LeMat-Bulk
Functional: PBE
Structure: relaxed

Geometry as POSCAR:
```
LiRe2Si
1.0
-1.5130 2.2124 0.4836
0.1787 -0.7609 -2.6090
-7.1566 -5.1132 1.0011
Li Re Si
1 2 1
Direct
0.5000 0.5000 0.7411 Li
0.0000 0.0000 0.0082 Re
0.5000 0.5000 0.2572 Re
0.0000 0.0000 0.4934 Si
```

Space group: Cmm2, No. 35

[11]
Compound: Li2ReSi2
Source: Alexandria via LeMat-Bulk
Functional: PBE
Structure: relaxed

Geometry as POSCAR:
```
Li2ReSi2
1.0
-3.1351 4.6189 -3.2452
-5.6218 -2.2192 2.2726
0.2557 1.9690 2.5554
Li Si Re
4 4 2
Direct
0.6631 0.8369 0.5000 Li
0.8369 0.3369 0.5000 Li
0.3369 0.1631 0.5000 Li
0.1631 0.6631 0.5000 Li
0.8602 0.6398 0.0000 Si
0.1398 0.3602 0.0000 Si
0.6398 0.1398 0.0000 Si
0.3602 0.8602 0.0000 Si
0.0000 0.0000 0.0000 Re
0.5000 0.5000 0.0000 Re
```

Space group: P4/mbm, No. 127

[12]
Compound: LiRe2Si
Source: Alexandria via LeMat-Bulk
Functional: PBE
Structure: relaxed

Geometry as POSCAR:
```
LiRe2Si
1.0
-2.9774 -0.7896 -3.8628
-2.1950 -0.3041 4.4157
-1.4306 2.2205 0.0050
Si Re Li
1 2 1
Direct
0.5000 0.0000 0.5000 Si
0.5000 0.5000 0.0000 Re
0.0000 0.0000 0.0000 Re
0.0000 0.5000 0.5000 Li
```

Space group: C2/m, No. 12

[13]
Compound: LiTaReSi
Source: Alexandria via LeMat-Bulk
Functional: PBE
Structure: relaxed

Geometry as POSCAR:
```
LiTaReSi
1.0
4.3319 0.0000 0.0000
2.1659 3.7515 0.0000
2.1659 1.2505 3.5369
Li Si Re Ta
1 1 1 1
Direct
0.7500 0.7500 0.7500 Li
0.0000 0.0000 0.0000 Si
0.2500 0.2500 0.2500 Re
0.5000 0.5000 0.5000 Ta
```

Space group: F-43m, No. 216

[14]
Compound: LiTl2ReSi
Source: Alexandria via LeMat-Bulk
Functional: PBE
Structure: relaxed

Geometry as POSCAR:
```
LiTl2ReSi
1.0
-1.7831 2.3162 4.4309
3.6114 -1.6355 2.3082
2.7451 4.3853 -1.1877
Re Tl Li Si
1 2 1 1
Direct
0.0000 0.5000 0.0000 Re
0.5000 0.0000 0.0000 Tl
0.0000 0.0000 0.5000 Tl
0.5000 0.5000 0.5000 Li
0.0000 0.0000 0.0000 Si
```

Space group: P4/mmm, No. 123

[15]
Compound: LiUReSi
Source: Alexandria via LeMat-Bulk
Functional: PBE
Structure: relaxed

Geometry as POSCAR:
```
LiUReSi
1.0
-1.8749 -3.9586 1.1579
1.8777 -3.8855 -1.3796
2.0737 -2.7005 2.9889
U Re Li Si
1 1 1 1
Direct
0.5000 0.5000 0.5000 U
0.7500 0.7500 0.7500 Re
0.2500 0.2500 0.2500 Li
0.0000 0.0000 0.0000 Si
```

Space group: F-43m, No. 216

[16]
Compound: LiReSiW
Source: Alexandria via LeMat-Bulk
Functional: PBE
Structure: relaxed

Geometry as POSCAR:
```
LiReSiW
1.0
4.2676 0.0000 0.0000
2.1338 3.6958 0.0000
2.1338 1.2319 3.4845
Re Li Si W
1 1 1 1
Direct
0.2500 0.2500 0.2500 Re
0.7500 0.7500 0.7500 Li
0.0000 0.0000 0.0000 Si
0.5000 0.5000 0.5000 W
```

Space group: F-43m, No. 216

[17]
Compound: Li2ZnReSi
Source: Alexandria via LeMat-Bulk
Functional: PBE
Structure: relaxed

Geometry as POSCAR:
```
Li2ZnReSi
1.0
-3.6488 3.2989 0.6849
-0.2160 -1.1633 4.4527
3.3612 3.4944 1.0760
Zn Li Si Re
1 2 1 1
Direct
0.5000 0.5000 0.5000 Zn
0.5000 0.0000 0.0000 Li
0.0000 0.0000 0.5000 Li
0.0000 0.5000 0.0000 Si
0.0000 0.0000 0.0000 Re
```

Space group: P4/mmm, No. 123

[18]
Compound: LiSmRe
Source: Alexandria via LeMat-Bulk
Functional: PBE
Structure: relaxed

Geometry as POSCAR:
```
LiSmRe
1.0
-1.4501 -2.1593 1.8179
2.5935 -1.7874 -0.0544
5.8941 5.4368 11.1596
Sm Li Re
2 2 2
Direct
0.2500 0.1457 0.7085 Sm
0.7500 0.8543 0.2915 Sm
0.2500 0.4555 0.0889 Li
0.7500 0.5445 0.9111 Li
0.2500 0.2752 0.4496 Re
0.7500 0.7248 0.5504 Re
```

Formation enthalpy at 0 K: 89 meV per atom
Space group: Cmcm, No. 63

[19]
Compound: LiSmTmRe
Source: Alexandria via LeMat-Bulk
Functional: PBE
Structure: relaxed

Geometry as POSCAR:
```
LiSmTmRe
1.0
-3.0762 0.0750 -3.8598
1.6378 -1.2488 -4.4861
-1.4644 -4.2345 -2.0717
Li Tm Re Sm
1 1 1 1
Direct
0.0000 0.0000 0.0000 Li
0.7500 0.7500 0.7500 Tm
0.5000 0.5000 0.5000 Re
0.2500 0.2500 0.2500 Sm
```

Formation enthalpy at 0 K: 89 meV per atom
Space group: F-43m, No. 216

[20]
Compound: LiSmYRe
Source: Alexandria via LeMat-Bulk
Functional: PBE
Structure: relaxed

Geometry as POSCAR:
```
LiSmYRe
1.0
4.9748 0.0000 0.0000
2.4874 4.3083 0.0000
2.4874 1.4361 4.0619
Sm Li Re Y
1 1 1 1
Direct
0.2500 0.2500 0.2500 Sm
0.0000 0.0000 0.0000 Li
0.5000 0.5000 0.5000 Re
0.7500 0.7500 0.7500 Y
```

Formation enthalpy at 0 K: 118 meV per atom
Space group: F-43m, No. 216

[21]
Compound: Li2Re2Sn
Source: Alexandria via LeMat-Bulk
Functional: PBE
Structure: relaxed

Geometry as POSCAR:
```
Li2Re2Sn
1.0
5.8734 0.0000 0.0000
0.0000 5.8734 0.0000
0.0000 0.0000 4.0525
Li Sn Re
4 2 4
Direct
0.6208 0.1208 0.0000 Li
0.8792 0.6208 0.0000 Li
0.1208 0.3792 0.0000 Li
0.3792 0.8792 0.0000 Li
0.5000 0.5000 0.0000 Sn
0.0000 0.0000 0.0000 Sn
0.1613 0.6613 0.5000 Re
0.6613 0.8387 0.5000 Re
0.3387 0.1613 0.5000 Re
0.8387 0.3387 0.5000 Re
```

Formation enthalpy at 0 K: 626 meV per atom
Energy relative to the lowest polymorph listed for this composition: 0.113 eV/atom
Space group: P4/mbm, No. 127

[22]
Compound: Li2Re2Sn
Source: Alexandria via LeMat-Bulk
Functional: PBE
Structure: relaxed

Geometry as POSCAR:
```
Li2Re2Sn
1.0
-1.3722 -2.9900 1.4015
2.4375 -1.9410 -1.7545
4.7499 -1.9316 5.0915
Re Sn Li
2 1 2
Direct
0.2500 0.7500 0.5000 Re
0.7500 0.2500 0.5000 Re
0.0000 0.0000 0.0000 Sn
0.4026 0.4026 0.1947 Li
0.5974 0.5974 0.8053 Li
```

Formation enthalpy at 0 K: 513 meV per atom
Energy relative to the lowest polymorph listed for this composition: 0.000 eV/atom
Space group: I4/mmm, No. 139

[23]
Compound: Li2ReSn2
Source: Alexandria via LeMat-Bulk
Functional: PBE
Structure: relaxed

Geometry as POSCAR:
```
Li2ReSn2
1.0
4.8143 0.0000 0.0000
0.0000 4.8143 0.0000
2.4071 2.4071 3.6435
Sn Re Li
2 1 2
Direct
0.2500 0.7500 0.5000 Sn
0.7500 0.2500 0.5000 Sn
0.0000 0.0000 0.0000 Re
0.3609 0.3609 0.2781 Li
0.6391 0.6391 0.7219 Li
```

Formation enthalpy at 0 K: 468 meV per atom
Energy relative to the lowest polymorph listed for this composition: 0.219 eV/atom
Space group: I4/mmm, No. 139

[24]
Compound: Li2ReSn2
Source: Alexandria via LeMat-Bulk
Functional: PBE
Structure: relaxed

Geometry as POSCAR:
```
Li2ReSn2
1.0
7.3388 0.0000 0.0000
0.0000 7.3388 0.0000
0.0000 0.0000 3.2872
Sn Re Li
4 2 4
Direct
0.6553 0.1553 0.0000 Sn
0.3447 0.8447 0.0000 Sn
0.1553 0.3447 0.0000 Sn
0.8447 0.6553 0.0000 Sn
0.0000 0.0000 0.0000 Re
0.5000 0.5000 0.0000 Re
0.3519 0.1481 0.5000 Li
0.8519 0.3519 0.5000 Li
0.6481 0.8519 0.5000 Li
0.1481 0.6481 0.5000 Li
```

Formation enthalpy at 0 K: 249 meV per atom
Energy relative to the lowest polymorph listed for this composition: 0.000 eV/atom
Space group: P4/mbm, No. 127

[25]
Compound: LiRe3Sn
Source: Alexandria via LeMat-Bulk
Functional: PBE
Structure: relaxed

Geometry as POSCAR:
```
LiRe3Sn
1.0
-1.1643 -4.6975 0.7522
1.3081 0.4284 4.7004
-4.5740 1.3183 1.1528
Re Li Sn
3 1 1
Direct
0.0000 0.5000 0.0000 Re
0.5000 0.0000 0.0000 Re
0.0000 0.0000 0.5000 Re
0.5000 0.5000 0.5000 Li
0.0000 0.0000 0.0000 Sn
```

Formation enthalpy at 0 K: 2733 meV per atom
Energy relative to the lowest polymorph listed for this composition: 1.303 eV/atom
Space group: Pm-3m, No. 221

[26]
Compound: Li2ReSn2
Source: Alexandria via LeMat-Bulk
Functional: PBE
Structure: relaxed

Geometry as POSCAR:
```
Li2ReSn2
1.0
-2.6693 -6.2527 -1.0154
4.9382 -1.3638 -4.5833
1.9828 -1.2540 2.5095
Li Re Sn
4 2 4
Direct
0.1246 0.3754 0.0000 Li
0.6246 0.1246 0.0000 Li
0.8754 0.6246 0.0000 Li
0.3754 0.8754 0.0000 Li
0.0000 0.0000 0.0000 Re
0.5000 0.5000 0.0000 Re
0.1766 0.6766 0.5000 Sn
0.3234 0.1766 0.5000 Sn
0.8234 0.3234 0.5000 Sn
0.6766 0.8234 0.5000 Sn
```

Formation enthalpy at 0 K: 330 meV per atom
Energy relative to the lowest polymorph listed for this composition: 0.082 eV/atom
Space group: P4/mbm, No. 127

[27]
Compound: LiRe3Sn
Source: Alexandria via LeMat-Bulk
Functional: PBE
Structure: relaxed

Geometry as POSCAR:
```
LiRe3Sn
1.0
-1.4116 0.9952 3.8766
1.2333 -3.8025 1.4253
3.8076 1.6007 0.9755
Li Re Sn
1 3 1
Direct
0.0000 0.0000 0.0000 Li
0.0000 0.5000 0.0000 Re
0.5000 0.0000 0.0000 Re
0.0000 0.0000 0.5000 Re
0.5000 0.5000 0.5000 Sn
```

Formation enthalpy at 0 K: 1430 meV per atom
Energy relative to the lowest polymorph listed for this composition: 0.000 eV/atom
Space group: Pm-3m, No. 221

[28]
Compound: LiReTcSn
Source: Alexandria via LeMat-Bulk
Functional: PBE
Structure: relaxed

Geometry as POSCAR:
```
LiReTcSn
1.0
-2.9385 -1.5003 2.9362
0.8790 -3.6404 2.3414
0.8453 0.3060 4.3242
Sn Re Li Tc
1 1 1 1
Direct
0.5000 0.5000 0.5000 Sn
0.0000 0.0000 0.0000 Re
0.2500 0.2500 0.2500 Li
0.7500 0.7500 0.7500 Tc
```

Formation enthalpy at 0 K: 49 meV per atom
Space group: F-43m, No. 216

[29]
Compound: SrLi2Re
Source: Alexandria via LeMat-Bulk
Functional: PBE
Structure: relaxed

Geometry as POSCAR:
```
SrLi2Re
1.0
4.8111 -0.7236 -0.5257
2.1258 -3.9020 2.0498
1.6313 -3.6572 -2.8125
Li Sr Re
2 1 1
Direct
0.2500 0.2500 0.2500 Li
0.7500 0.7500 0.7500 Li
0.0000 0.0000 0.0000 Sr
0.5000 0.5000 0.5000 Re
```

Formation enthalpy at 0 K: 889 meV per atom
Energy relative to the lowest polymorph listed for this composition: 0.230 eV/atom
Space group: Fm-3m, No. 225

Number 1: VASP energy -19.0 eV per cell. Number 2: VASP energy -19.1 eV per cell. Number 3: VASP energy -31.9 eV per cell. Number 4: VASP energy -31.8 eV per cell. Number 5: VASP energy -15.8 eV per cell. Number 6: VASP energy -31.7 eV per cell. Number 7: VASP energy -19.6 eV per cell. Number 8: VASP energy -32.8 eV per cell. Number 9: VASP energy -37.3 eV per cell. Number 10: VASP energy -31.4 eV per cell. Number 11: VASP energy -53.6 eV per cell. Number 12: VASP energy -31.5 eV per cell. Number 13: VASP energy -32.4 eV per cell. Number 14: VASP energy -19.9 eV per cell. Number 15: VASP energy -30.6 eV per cell. Number 16: VASP energy -33.4 eV per cell. Number 17: VASP energy -18.2 eV per cell. Number 18: VASP energy -37.6 eV per cell. Number 19: VASP energy -23.2 eV per cell. Number 20: VASP energy -25.1 eV per cell. Number 21: VASP energy -59.2 eV per cell. Number 22: VASP energy -30.2 eV per cell. Number 23: VASP energy -21.9 eV per cell. Number 24: VASP energy -46.1 eV per cell. Number 25: VASP energy -29.6 eV per cell. Number 26: VASP energy -45.3 eV per cell. Number 27: VASP energy -36.1 eV per cell. Number 28: VASP energy -28.5 eV per cell. Number 29: VASP energy -14.4 eV per cell.